Density functional theory data (GGA-PBEsol) for an optimized crystal structure of Sr2IrRu.

Cell lengths 3.4882, 3.4882, 8.7711 Å; angles 90.00, 90.00, 90.00 degrees
Closest atoms and distances in Å follow each position.
Sites, in units of the cell vectors:
Sr 0.0000 0.0000 0.0000  1 Ir 2.94
Sr 0.5000 0.5000 0.4146  1 Ru 2.87
Ir 0.0000 0.0000 0.6650  4 Ru 2.56
Ru 0.5000 0.5000 0.7421  4 Ir 2.56

Values from the calculation:
Final energy = -5.592 eV/atom
Energy of formation = 126.3 kJ/mol of formula units



Density functional theory data (GGA-PBEsol) for an optimized crystal structure of TaIr2Ru.

Cell lengths 4.3895, 4.3895, 4.3895 Å; angles 60.00, 60.00, 60.00 degrees
Closest atoms and distances in Å follow each position.
Sites, in units of the cell vectors:
Ta 0.0000 0.0000 0.0000  4 Ir 2.69, 4 Ru 2.69
Ir 0.5000 0.5000 0.5000  4 Ir 2.69, 4 Ru 2.69
Ir 0.7500 0.7500 0.7500  4 Ir 2.69, 4 Ta 2.69
Ru 0.2500 0.2500 0.2500  4 Ta 2.69, 4 Ir 2.69

Values from the calculation:
Distance to the lowest polymorph of the same formula = 0.6354 eV per atom
Final energy = -10.521 eV/atom
Energy of formation = 27.7 kJ/mol of formula units



Density functional theory data (GGA-PBEsol) for an optimized crystal structure of TaIr2Ru.

Cell lengths 3.8672, 3.8672, 3.8780 Å; angles 90.00, 90.00, 90.00 degrees
Closest atoms and distances in Å follow each position.
Sites, in units of the cell vectors:
Ta 0.0000 0.0000 0.0000  4 Ru 2.73, 8 Ir 2.74
Ir 0.0000 0.5000 0.5000  4 Ir 2.73, 4 Ta 2.74, 4 Ru 2.74
Ir 0.5000 0.0000 0.5000  4 Ir 2.73, 4 Ta 2.74, 4 Ru 2.74
Ru 0.5000 0.5000 0.0000  4 Ta 2.73, 8 Ir 2.74

Values from the calculation:
Distance to the lowest polymorph of the same formula = 0.0000 eV per atom
Final energy = -11.156 eV/atom
Energy of formation = -217.5 kJ/mol of formula units



Density functional theory data (GGA-PBEsol) for an optimized crystal structure of TaIr2Ru.

Cell lengths 2.7723, 4.4064, 4.7728 Å; angles 90.00, 90.00, 90.00 degrees
Closest atoms and distances in Å follow each position.
Sites, in units of the cell vectors:
Ta 0.0000 0.0000 0.0000  8 Ir 2.70-2.82, 2 Ru 2.74, 2 Ta 2.77
Ir 0.5000 0.0000 0.4860  4 Ru 2.69, 4 Ta 2.70-2.82, 4 Ir 2.74-2.77
Ir 0.5000 0.5000 0.8267  4 Ru 2.70-2.82, 4 Ta 2.73, 4 Ir 2.74-2.77
Ru 0.0000 0.5000 0.3408  8 Ir 2.69-2.82, 2 Ta 2.74, 2 Ru 2.77

Values from the calculation:
Distance to the lowest polymorph of the same formula = 0.1411 eV per atom
Final energy = -11.015 eV/atom
Energy of formation = -163.1 kJ/mol of formula units